Entry 1:
Entry from Alexandria: crystalline MgH2O at its relaxed geometry (PBE).

The space group is I4_1/amd (No. 141, origin choice 2) and the conventional cell measures 2.7477, 2.7477 and 24.9990 Å, with angles of 90.00, 90.00 and 90.00 degrees. The asymmetric unit holds Mg at (0.0000, 0.2500, 0.3750), H at (0.0000, 0.0000, 0.0000) and O at (0.0000, 0.2500, 0.8750).

The density of states at the Fermi level comes out at 1.56 states/eV/cell. The calculation puts the energy relative to the lowest polymorph listed for this composition at 487.0 meV/atom. As for the total energy: -0.2954 Ry per atom.



Entry 2:
Entry from Alexandria: crystalline Ca2Ac5LaSm at its relaxed geometry (PBE).

The space group is I4/mcm (No. 140) and the conventional cell measures 9.2308, 9.2308 and 17.9359 Å, with angles of 90.00, 90.00 and 90.00 degrees. The asymmetric unit holds Ca at (0.1177, 0.3823, 0.0000), Ac at (0.0000, 0.0000, 0.0000), Ac at (0.2096, 0.2904, 0.3532), La at (0.0000, 0.5000, 0.2500) and Sm at (0.0000, 0.0000, 0.2500).

The formation energy is 2.6 eV per formula unit. The density of states at the Fermi level comes out at 69.30 states/eV/cell. As for the total energy: -0.2578 Ry per atom.



Entry 3:
Entry from Alexandria: crystalline Nb2IrPt at its relaxed geometry (PBE).

The space group is R-3m (No. 166, hexagonal axes) and the conventional cell measures 3.6882, 3.6882 and 19.1791 Å, with angles of 90.00, 90.00 and 120.00 degrees. The asymmetric unit holds Nb at (0.0000, 0.0000, 0.2457), Ir at (0.0000, 0.0000, 0.5000) and Pt at (0.0000, 0.0000, 0.0000).

The formation energy is 0.0 eV per formula unit. The density of states at the Fermi level comes out at 10.62 states/eV/cell. As for the total energy: -0.6431 Ry per atom.



Entry 4:
Entry from Alexandria: crystalline TiOF2 at its relaxed geometry (PBE).

The space group is P2_1 (No. 4) and the conventional cell measures 5.2216, 9.4278 and 5.2460 Å, with angles of 90.00, 91.54 and 90.00 degrees. The asymmetric unit holds Ti at (0.1364, 0.0000, 0.3383), Ti at (0.3418, 0.2486, 0.8686), O at (0.0901, 0.3728, 0.8120), O at (0.1915, 0.1224, 0.0881), F at (0.0888, 0.5647, 0.4356), F at (0.3831, 0.1195, 0.5981), F at (0.4133, 0.8722, 0.3752) and F at (0.4180, 0.8084, 0.9045).

As for the uncorrected formation energy: -3202 meV/atom. The density of states at the Fermi level comes out at 0.00 states/eV/cell. The calculation puts the energy relative to the lowest polymorph listed for this composition at 0.0 meV/atom. As for the total energy: -0.5403 Ry per atom.